1.
Entry from the Alexandria database: a relaxed structure of CeTmLuAg (PBE).

a = 5.194 Å, b = 5.194 Å, c = 5.194 Å
α = 60.00°, β = 60.00°, γ = 60.00°
Fractional coordinates of all 4 atoms:
Lu  0.000  0.000  0.000
Tm  0.500  0.500  0.500
Ce  0.250  0.250  0.250
Ag  0.750  0.750  0.750

Output
For the calculated total energy, the calculation gives -4.31 eV/atom. As for the space group: F-43m, No. 216. The formation enthalpy at 0 K comes out at 0.137 eV/atom.



2.
Entry from the Alexandria database: a relaxed structure of CeMg6Ag2 (PBE).

a = 4.380 Å, b = 4.380 Å, c = 10.894 Å
α = 90.00°, β = 90.00°, γ = 90.00°
Site moments in Bohr magnetons follow the coordinates.
Fractional coordinates of all 9 atoms:
Ce  0.000  0.000  0.000  0.90
Mg  0.000  0.500  0.284  0.00
Mg  0.500  0.000  0.284  0.00
Mg  0.000  0.500  0.716  0.00
Mg  0.500  0.000  0.716  0.00
Mg  0.500  0.500  0.500  0.00
Mg  0.000  0.000  0.500  0.00
Ag  0.500  0.500  0.126  0.00
Ag  0.500  0.500  0.874  0.00

Output
For the calculated total energy, the calculation gives -2.43 eV/atom. As for the space group: P4/mmm, No. 123. The formation enthalpy at 0 K comes out at -0.079 eV/atom.



3.
Entry from the Alexandria database: a relaxed structure of Ce2Mg3Ag3 (PBE).

a = 5.886 Å, b = 8.700 Å, c = 8.700 Å
α = 60.00°, β = 90.00°, γ = 90.00°
Site moments in Bohr magnetons follow the coordinates.
Fractional coordinates of all 16 atoms:
Ce  0.000  0.333  0.333  0.91
Ce  0.500  0.667  0.667  0.91
Ce  0.000  0.667  0.667  0.91
Ce  0.500  0.333  0.333  0.91
Mg  0.750  0.000  0.270  0.00
Mg  0.750  0.270  0.730  0.00
Mg  0.750  0.730  0.000  0.00
Mg  0.250  0.000  0.730  0.00
Mg  0.250  0.730  0.270  0.00
Mg  0.250  0.270  0.000  0.00
Ag  0.750  0.000  0.642  0.01
Ag  0.750  0.642  0.358  0.01
Ag  0.750  0.358  0.000  0.01
Ag  0.250  0.000  0.358  0.01
Ag  0.250  0.358  0.642  0.01
Ag  0.250  0.642  0.000  0.01

Output
For the calculated total energy, the calculation gives -3.23 eV/atom. As for the space group: P6_3/mcm, No. 193. The formation enthalpy at 0 K comes out at -0.078 eV/atom.



4.
Entry from the Alexandria database: a relaxed structure of CeMg5Ag6 (PBE).

a = 4.845 Å, b = 6.919 Å, c = 7.633 Å
α = 90.00°, β = 108.51°, γ = 90.00°
Site moments in Bohr magnetons follow the coordinates.
Fractional coordinates of all 12 atoms:
Mg  0.658  0.500  0.321  0.00
Mg  0.329  0.000  0.657  0.00
Mg  0.000  0.500  0.000  0.00
Mg  0.671  0.000  0.343  0.00
Mg  0.342  0.500  0.679  0.00
Ag  0.827  0.731  0.649  0.01
Ag  0.827  0.269  0.649  0.01
Ag  0.500  0.272  0.000  0.01
Ag  0.500  0.728  0.000  0.01
Ag  0.173  0.731  0.351  0.01
Ag  0.173  0.269  0.351  0.01
Ce  0.000  0.000  0.000  0.88

Output
For the calculated total energy, the calculation gives -2.75 eV/atom. As for the space group: P2/m, No. 10. The formation enthalpy at 0 K comes out at -0.163 eV/atom.



5.
Entry from the Alexandria database: a relaxed structure of CeMg12Ag6 (PBE).

a = 7.856 Å, b = 7.856 Å, c = 7.856 Å
α = 104.98°, β = 104.98°, γ = 104.98°
Site moments in Bohr magnetons follow the coordinates.
Fractional coordinates of all 19 atoms:
Ce  0.000  0.000  0.000  1.13
Mg  0.883  0.117  0.500  0.00
Mg  0.843  0.586  0.586  0.00
Mg  0.586  0.586  0.843  0.00
Mg  0.414  0.157  0.414  0.00
Mg  0.414  0.414  0.157  0.00
Mg  0.157  0.414  0.414  0.00
Mg  0.117  0.500  0.883  0.00
Mg  0.500  0.883  0.117  0.00
Mg  0.117  0.883  0.500  0.00
Mg  0.883  0.500  0.117  0.00
Mg  0.500  0.117  0.883  0.00
Mg  0.586  0.843  0.586  0.00
Ag  0.707  0.266  0.266  0.00
Ag  0.266  0.266  0.707  0.00
Ag  0.266  0.707  0.266  0.00
Ag  0.734  0.734  0.293  0.00
Ag  0.293  0.734  0.734  0.00
Ag  0.734  0.293  0.734  0.00

Output
For the calculated total energy, the calculation gives -2.30 eV/atom. As for the space group: R-3m, No. 166. The formation enthalpy at 0 K comes out at -0.081 eV/atom.



6.
Entry from the Alexandria database: a relaxed structure of CeMg6Ag (PBE).

a = 4.965 Å, b = 6.078 Å, c = 7.116 Å
α = 115.28°, β = 90.00°, γ = 90.00°
Site moments in Bohr magnetons follow the coordinates.
Fractional coordinates of all 8 atoms:
Ce  0.500  0.199  0.399  0.87
Mg  0.500  0.691  0.873  0.00
Mg  0.500  0.182  0.873  0.00
Mg  0.000  0.829  0.153  0.00
Mg  0.000  0.324  0.153  0.00
Mg  0.000  0.357  0.715  0.00
Mg  0.000  0.791  0.581  0.00
Ag  0.500  0.626  0.252  0.00

Output
For the calculated total energy, the calculation gives -2.27 eV/atom. As for the space group: Amm2, No. 38. The formation enthalpy at 0 K comes out at 0.020 eV/atom.



7.
Entry from the Alexandria database: a relaxed structure of CeMg2Ag4 (PBE).

a = 5.640 Å, b = 5.808 Å, c = 5.808 Å
α = 76.37°, β = 60.95°, γ = 60.95°
Site moments in Bohr magnetons follow the coordinates.
Fractional coordinates of all 7 atoms:
Ce  0.000  0.000  0.000  0.91
Mg  0.750  0.500  0.500  0.00
Mg  0.250  0.500  0.500  0.00
Ag  0.695  0.000  0.609  0.01
Ag  0.305  0.000  0.391  0.01
Ag  0.305  0.391  0.000  0.01
Ag  0.695  0.609  0.000  0.01

Output
For the calculated total energy, the calculation gives -3.14 eV/atom. As for the space group: I4/mmm, No. 139. The formation enthalpy at 0 K comes out at -0.211 eV/atom.



8.
Entry from the Alexandria database: a relaxed structure of CeMg6Ag6 (PBE).

a = 5.634 Å, b = 7.461 Å, c = 7.461 Å
α = 79.86°, β = 67.82°, γ = 67.82°
Site moments in Bohr magnetons follow the coordinates.
Fractional coordinates of all 13 atoms:
Ce  0.000  0.000  0.000  1.01
Mg  0.346  0.654  0.654  0.00
Mg  0.654  0.346  0.346  0.00
Mg  0.000  0.342  0.658  0.01
Mg  0.000  0.658  0.342  0.01
Mg  0.305  0.195  0.195  0.00
Mg  0.695  0.805  0.805  0.00
Ag  0.000  0.500  0.000  0.00
Ag  0.500  0.500  0.000  0.00
Ag  0.000  0.000  0.500  0.00
Ag  0.500  0.000  0.500  0.00
Ag  0.500  0.776  0.224  0.01
Ag  0.500  0.224  0.776  0.01

Output
For the calculated total energy, the calculation gives -2.67 eV/atom. As for the space group: Immm, No. 71. The formation enthalpy at 0 K comes out at -0.158 eV/atom.



9.
Entry from the Alexandria database: a relaxed structure of CeMg4Ag5 (PBE).

a = 3.350 Å, b = 3.350 Å, c = 17.559 Å
α = 90.00°, β = 90.00°, γ = 90.00°
Site moments in Bohr magnetons follow the coordinates.
Fractional coordinates of all 10 atoms:
Ce  0.000  0.000  0.000  0.83
Mg  0.000  0.000  0.218  0.00
Mg  0.000  0.000  0.406  0.00
Mg  0.000  0.000  0.594  0.00
Mg  0.000  0.000  0.782  0.00
Ag  0.500  0.500  0.127  0.01
Ag  0.500  0.500  0.313  0.00
Ag  0.500  0.500  0.500  0.00
Ag  0.500  0.500  0.687  0.00
Ag  0.500  0.500  0.873  0.01

Output
For the calculated total energy, the calculation gives -2.86 eV/atom. As for the space group: P4/mmm, No. 123. The formation enthalpy at 0 K comes out at -0.207 eV/atom.



10.
Entry from the Alexandria database: a relaxed structure of CeMgAg (PBE).

a = 4.410 Å, b = 7.648 Å, c = 7.648 Å
α = 120.00°, β = 90.00°, γ = 90.00°
Site moments in Bohr magnetons follow the coordinates.
Fractional coordinates of all 9 atoms:
Mg  0.000  0.239  0.000  0.00
Mg  0.000  0.761  0.761  0.00
Mg  0.000  0.000  0.239  0.00
Ag  0.000  0.333  0.667  0.01
Ag  0.000  0.667  0.333  0.01
Ag  0.500  0.000  0.000  -0.01
Ce  0.500  0.580  0.000  0.68
Ce  0.500  0.000  0.580  0.74
Ce  0.500  0.420  0.420  0.67

Output
For the calculated total energy, the calculation gives -3.59 eV/atom. As for the space group: P-62m, No. 189. The formation enthalpy at 0 K comes out at -0.132 eV/atom.



11.
Entry from the Alexandria database: a relaxed structure of CeMgAg (PBE).

a = 5.090 Å, b = 6.188 Å, c = 8.865 Å
α = 90.00°, β = 90.00°, γ = 90.00°
Site moments in Bohr magnetons follow the coordinates.
Fractional coordinates of all 12 atoms:
Ce  0.250  0.527  0.752  0.77
Ce  0.250  0.973  0.752  0.77
Ce  0.750  0.027  0.248  0.77
Ce  0.750  0.473  0.248  0.77
Mg  0.750  0.250  0.910  0.00
Mg  0.250  0.250  0.425  0.00
Mg  0.750  0.750  0.575  0.00
Mg  0.250  0.750  0.090  0.00
Ag  0.250  0.750  0.412  0.01
Ag  0.250  0.250  0.077  0.01
Ag  0.750  0.750  0.923  0.01
Ag  0.750  0.250  0.588  0.01

Output
For the calculated total energy, the calculation gives -3.60 eV/atom. As for the space group: Pmmn, No. 59. The formation enthalpy at 0 K comes out at -0.145 eV/atom.



12.
Entry from the Alexandria database: a relaxed structure of CeMgAg (PBE).

a = 3.189 Å, b = 3.189 Å, c = 7.071 Å
α = 103.03°, β = 103.03°, γ = 90.00°
Site moments in Bohr magnetons follow the coordinates.
Fractional coordinates of all 3 atoms:
Mg  0.311  0.311  0.622  0.00
Ce  0.007  0.007  0.015  0.47
Ag  0.682  0.682  0.363  0.00

Output
For the calculated total energy, the calculation gives -3.55 eV/atom. As for the space group: I4mm, No. 107. The formation enthalpy at 0 K comes out at -0.094 eV/atom.



13.
Entry from the Alexandria database: a relaxed structure of CeMg4Ag2 (PBE).

a = 4.494 Å, b = 8.457 Å, c = 8.457 Å
α = 90.00°, β = 90.00°, γ = 90.00°
Site moments in Bohr magnetons follow the coordinates.
Fractional coordinates of all 14 atoms:
Ce  0.500  0.000  0.000  1.03
Ce  0.000  0.500  0.500  1.03
Mg  0.000  0.088  0.338  0.00
Mg  0.000  0.912  0.662  0.00
Mg  0.500  0.162  0.588  0.00
Mg  0.500  0.838  0.412  0.00
Mg  0.500  0.412  0.838  0.00
Mg  0.500  0.588  0.162  0.00
Mg  0.000  0.338  0.088  0.00
Mg  0.000  0.662  0.912  0.00
Ag  0.000  0.215  0.785  0.01
Ag  0.000  0.785  0.215  0.01
Ag  0.500  0.715  0.715  0.01
Ag  0.500  0.285  0.285  0.01

Output
The energy relative to the lowest polymorph listed for this composition comes out at 0.00 eV/f.u. For the calculated total energy, the calculation gives -2.71 eV/atom. As for the space group: P4_2/mnm, No. 136. The formation enthalpy at 0 K comes out at -0.133 eV/atom.



14.
Entry from the Alexandria database: a relaxed structure of Ce2Mg16Ag (PBE).

a = 7.761 Å, b = 7.761 Å, c = 7.761 Å
α = 82.24°, β = 82.24°, γ = 82.24°
Site moments in Bohr magnetons follow the coordinates.
Fractional coordinates of all 19 atoms:
Ce  0.670  0.670  0.670  -0.99
Ce  0.331  0.331  0.331  -1.01
Mg  0.700  0.000  0.301  0.00
Mg  0.000  0.301  0.700  0.00
Mg  0.301  0.700  0.000  0.00
Mg  0.000  0.700  0.301  0.00
Mg  0.700  0.301  0.000  0.00
Mg  0.301  0.000  0.700  0.00
Mg  0.349  0.847  0.349  0.00
Mg  0.847  0.349  0.349  0.00
Mg  0.349  0.349  0.847  0.00
Mg  0.649  0.163  0.649  0.00
Mg  0.163  0.649  0.649  0.00
Mg  0.649  0.649  0.163  0.00
Mg  0.994  0.512  0.994  0.00
Mg  0.512  0.994  0.994  0.00
Mg  0.994  0.994  0.512  0.00
Mg  0.091  0.091  0.091  0.00
Ag  0.897  0.897  0.897  0.00

Output
For the calculated total energy, the calculation gives -2.14 eV/atom. As for the space group: R3m, No. 160. The formation enthalpy at 0 K comes out at -0.020 eV/atom.



15.
Entry from the Alexandria database: a relaxed structure of Ce2MgAg (PBE).

a = 3.039 Å, b = 3.039 Å, c = 12.164 Å
α = 82.82°, β = 82.82°, γ = 60.00°
Fractional coordinates of all 4 atoms:
Mg  0.000  0.000  0.000
Ag  0.500  0.500  0.500
Ce  0.090  0.090  0.730
Ce  0.910  0.910  0.270

Output
The energy relative to the lowest polymorph listed for this composition comes out at 0.74 eV/f.u. For the calculated total energy, the calculation gives -3.92 eV/atom. As for the space group: R-3m, No. 166. The formation enthalpy at 0 K comes out at 0.154 eV/atom.



16.
Entry from the Alexandria database: a relaxed structure of Ce2MgAg (PBE).

a = 4.006 Å, b = 4.006 Å, c = 6.603 Å
α = 90.00°, β = 90.00°, γ = 90.00°
Site moments in Bohr magnetons follow the coordinates.
Fractional coordinates of all 4 atoms:
Mg  0.500  0.500  0.500  0.00
Ag  0.500  0.500  0.000  0.01
Ce  0.000  0.000  0.777  0.85
Ce  0.000  0.000  0.223  0.85

Output
The energy relative to the lowest polymorph listed for this composition comes out at 0.19 eV/f.u. For the calculated total energy, the calculation gives -4.06 eV/atom. As for the space group: P4/mmm, No. 123. The formation enthalpy at 0 K comes out at 0.018 eV/atom.



17.
Entry from the Alexandria database: a relaxed structure of Ce2Mg5Ag4 (PBE).

a = 5.942 Å, b = 5.684 Å, c = 9.471 Å
α = 80.56°, β = 71.72°, γ = 58.48°
Site moments in Bohr magnetons follow the coordinates.
Fractional coordinates of all 11 atoms:
Ce  0.875  0.000  0.250  0.99
Ce  0.125  0.000  0.750  0.99
Mg  0.500  0.000  0.000  0.00
Mg  0.000  0.500  0.000  0.00
Mg  0.500  0.500  0.000  0.00
Mg  0.250  0.500  0.500  0.00
Mg  0.750  0.500  0.500  0.00
Ag  0.475  0.311  0.739  0.00
Ag  0.525  0.689  0.261  0.00
Ag  0.214  0.311  0.261  0.00
Ag  0.786  0.689  0.739  0.00

Output
For the calculated total energy, the calculation gives -2.93 eV/atom. As for the space group: Fmmm, No. 69. The formation enthalpy at 0 K comes out at -0.089 eV/atom.



18.
Entry from the Alexandria database: a relaxed structure of CeMg4Ag2 (PBE).

a = 4.396 Å, b = 4.405 Å, c = 8.755 Å
α = 104.57°, β = 90.00°, γ = 90.00°
Site moments in Bohr magnetons follow the coordinates.
Fractional coordinates of all 7 atoms:
Ce  0.000  0.000  0.000  0.97
Mg  0.500  0.820  0.639  0.00
Mg  0.000  0.681  0.362  0.00
Mg  0.500  0.180  0.361  0.00
Mg  0.000  0.319  0.638  0.00
Ag  0.500  0.581  0.161  0.00
Ag  0.500  0.419  0.839  0.00

Output
The energy relative to the lowest polymorph listed for this composition comes out at 0.22 eV/f.u. For the calculated total energy, the calculation gives -2.67 eV/atom. As for the space group: Cmmm, No. 65. The formation enthalpy at 0 K comes out at -0.101 eV/atom.



19.
Entry from the Alexandria database: a relaxed structure of Ce2MgAg6 (PBE).

a = 3.121 Å, b = 8.474 Å, c = 8.474 Å
α = 60.00°, β = 89.94°, γ = 89.94°
Site moments in Bohr magnetons follow the coordinates.
Fractional coordinates of all 9 atoms:
Ce  0.000  0.333  0.333  1.04
Ce  0.000  0.667  0.667  1.04
Mg  0.000  0.000  0.000  0.00
Ag  0.499  0.673  0.000  0.01
Ag  0.501  0.000  0.327  0.01
Ag  0.501  0.327  0.000  0.01
Ag  0.500  0.673  0.327  0.01
Ag  0.499  0.000  0.673  0.01
Ag  0.500  0.327  0.673  0.01

Output
For the calculated total energy, the calculation gives -3.48 eV/atom. As for the space group: C2/m, No. 12. The formation enthalpy at 0 K comes out at -0.088 eV/atom.



20.
Entry from the Alexandria database: a relaxed structure of CeMgAg (PBE).

a = 4.908 Å, b = 4.908 Å, c = 7.493 Å
α = 70.88°, β = 70.88°, γ = 60.00°
Site moments in Bohr magnetons follow the coordinates.
Fractional coordinates of all 6 atoms:
Mg  0.296  0.296  0.113  0.00
Mg  0.704  0.704  0.887  0.00
Ce  0.137  0.137  0.589  0.38
Ce  0.863  0.863  0.411  0.38
Ag  0.427  0.427  0.719  0.00
Ag  0.573  0.573  0.281  0.00

Output
For the calculated total energy, the calculation gives -3.53 eV/atom. As for the space group: R-3m, No. 166. The formation enthalpy at 0 K comes out at -0.075 eV/atom.